Entry 1:
AgBO: optimized geometry, PBE.

Cell: 9.6788 2.5950 7.9535 Å, 90.00 123.68 90.00°
Space group C2/m (No. 12)
Symmetry-distinct sites (fractional):
Ag 0.1854 0.0000 0.1068 x4
B 0.2341 0.0000 0.5990 x4
O 0.1471 0.5000 0.4777 x4

* E_form (uncorrected): -1.6 eV per formula unit

Entry 2:
Ag3B2O4: optimized geometry, PBE.

Cell: 13.0850 7.5581 4.7994 Å, 90.00 102.76 90.00°
Space group C2/c (No. 15)
Symmetry-distinct sites (fractional):
Ag 0.0000 0.2348 0.2500 x4
Ag 0.1102 0.0985 0.8254 x8
B 0.1740 0.4592 0.7079 x8
O 0.1186 0.4891 0.4190 x8
O 0.2344 0.1248 0.2341 x8

* E_form (uncorrected): -11.1 eV per formula unit

Entry 3:
AgBO3: optimized geometry, PBE.

Cell: 3.4415 3.4415 3.4415 Å, 90.00 90.00 90.00°
Space group Pm-3m (No. 221)
Symmetry-distinct sites (fractional):
Ag 0.0000 0.0000 0.0000 x1
B 0.5000 0.5000 0.5000 x1
O 0.0000 0.5000 0.5000 x3

* E_form (uncorrected): -0.6 eV per formula unit

Entry 4:
AgBO3: optimized geometry, PBE.

Cell: 4.8787 4.8787 15.9774 Å, 90.00 90.00 120.00°
Space group R-3c (No. 167, hexagonal axes)
Symmetry-distinct sites (fractional):
Ag 0.0000 0.0000 0.0000 x6
B 0.0000 0.0000 0.2500 x6
O 0.0000 0.2833 0.2500 x18

* E_form (uncorrected): -5.4 eV per formula unit

Entry 5:
AgB3O5: optimized geometry, PBE.

Cell: 10.5014 8.3781 3.9288 Å, 90.00 90.00 90.00°
Space group Pna2_1 (No. 33)
Symmetry-distinct sites (fractional):
Ag 0.0798 0.0851 0.0000 x4
B 0.0265 0.3976 0.5708 x4
B 0.1650 0.7422 0.8371 x4
B 0.1842 0.4551 0.0279 x4
O 0.0376 0.7444 0.9324 x4
O 0.0720 0.5053 0.2696 x4
O 0.1298 0.3499 0.7783 x4
O 0.2089 0.8841 0.7067 x4
O 0.2344 0.6057 0.8770 x4

* E_form (uncorrected): -18.1 eV per formula unit

Entry 6:
AgBO3: optimized geometry, PBE.

Cell: 3.9689 3.9689 3.9689 Å, 90.00 90.00 90.00°
Space group Pm-3m (No. 221)
Symmetry-distinct sites (fractional):
Ag 0.0000 0.0000 0.0000 x1
B 0.5000 0.5000 0.5000 x1
O 0.0000 0.0000 0.5000 x3

* E_form (uncorrected): 7.4 eV per formula unit

Number 6 is which compound?
AgBO3